Record 1
# PBE-GGA BeCoBiW, optimized geometry
# Final energy = -6.065 eV/atom
# Symmetry = F-43m (216)
data_BeCoBiW
_cell_length_a 4.4367
_cell_length_b 4.4367
_cell_length_c 4.4367
_cell_angle_alpha 60.00
_cell_angle_beta 60.00
_cell_angle_gamma 60.00
_space_group_name_H-M_alt 'P 1'
_space_group_IT_number 1
loop_
_space_group_symop_operation_xyz
'x,y,z'
loop_
_atom_site_label
_atom_site_type_symbol
_atom_site_fract_x
_atom_site_fract_y
_atom_site_fract_z
Bi1 Bi 0.0000 0.0000 0.0000
Co1 Co 0.7500 0.7500 0.7500
Be1 Be 0.2500 0.2500 0.2500
W1 W 0.5000 0.5000 0.5000

Record 2
# PBE-GGA UGa6Fe6, optimized geometry
# Final energy = -6.299 eV/atom
# Symmetry = Immm (71)
data_UGa6Fe6
_cell_length_a 4.9923
_cell_length_b 6.5469
_cell_length_c 6.5469
_cell_angle_alpha 99.26
_cell_angle_beta 67.59
_cell_angle_gamma 112.41
_space_group_name_H-M_alt 'P 1'
_space_group_IT_number 1
loop_
_space_group_symop_operation_xyz
'x,y,z'
loop_
_atom_site_label
_atom_site_type_symbol
_atom_site_fract_x
_atom_site_fract_y
_atom_site_fract_z
Ga1 Ga 0.0000 0.3418 0.3418
Ga2 Ga 0.0000 0.6582 0.6582
Ga3 Ga 0.3072 0.8072 0.1928
Ga4 Ga 0.6928 0.1928 0.8072
Ga5 Ga 0.6525 0.6525 0.3475
Ga6 Ga 0.3475 0.3475 0.6525
Fe1 Fe 0.5000 0.5000 0.0000
Fe2 Fe 0.0000 0.5000 0.0000
Fe3 Fe 0.5000 0.0000 0.5000
Fe4 Fe 0.5000 0.2344 0.2344
Fe5 Fe 0.0000 0.0000 0.5000
Fe6 Fe 0.5000 0.7656 0.7656
U1 U 0.0000 0.0000 0.0000

Record 3
# PBE-GGA LiGaCo, optimized geometry
# Final energy = -3.835 eV/atom
# Symmetry = F-43m (216)
data_LiGaCo
_cell_length_a 3.9611
_cell_length_b 3.9611
_cell_length_c 3.9611
_cell_angle_alpha 60.00
_cell_angle_beta 60.00
_cell_angle_gamma 60.00
_space_group_name_H-M_alt 'P 1'
_space_group_IT_number 1
loop_
_space_group_symop_operation_xyz
'x,y,z'
loop_
_atom_site_label
_atom_site_type_symbol
_atom_site_fract_x
_atom_site_fract_y
_atom_site_fract_z
Co1 Co 0.2500 0.2500 0.2500
Li1 Li 0.7500 0.7500 0.7500
Ga1 Ga 0.0000 0.0000 0.0000

Record 4
# PBE-GGA NdSm2Si4Pd4, optimized geometry
# Final energy = -6.089 eV/atom
# Symmetry = Immm (71)
data_NdSm2Si4Pd4
_cell_length_a 12.5696
_cell_length_b 12.5696
_cell_length_c 12.5696
_cell_angle_alpha 161.04
_cell_angle_beta 160.55
_cell_angle_gamma 27.29
_space_group_name_H-M_alt 'P 1'
_space_group_IT_number 1
loop_
_space_group_symop_operation_xyz
'x,y,z'
loop_
_atom_site_label
_atom_site_type_symbol
_atom_site_fract_x
_atom_site_fract_y
_atom_site_fract_z
Sm1 Sm 0.3531 0.8531 0.5000
Sm2 Sm 0.6469 0.1469 0.5000
Pd1 Pd 0.0977 0.5977 0.5000
Pd2 Pd 0.7510 0.7510 0.0000
Pd3 Pd 0.2490 0.2490 0.0000
Pd4 Pd 0.9023 0.4023 0.5000
Nd1 Nd 0.0000 0.0000 0.0000
Si1 Si 0.1960 0.6960 0.5000
Si2 Si 0.8040 0.3040 0.5000
Si3 Si 0.4510 0.4510 0.0000
Si4 Si 0.5490 0.5490 0.0000

Record 5
# PBE-GGA TmBiNO, optimized geometry
# Final energy = -6.608 eV/atom
# Symmetry = P4/nmm (129)
data_TmBiNO
_cell_length_a 4.4764
_cell_length_b 4.4764
_cell_length_c 7.7390
_cell_angle_alpha 90.00
_cell_angle_beta 90.00
_cell_angle_gamma 90.00
_space_group_name_H-M_alt 'P 1'
_space_group_IT_number 1
loop_
_space_group_symop_operation_xyz
'x,y,z'
loop_
_atom_site_label
_atom_site_type_symbol
_atom_site_fract_x
_atom_site_fract_y
_atom_site_fract_z
O1 O 0.5000 0.5000 0.0000
O2 O 0.0000 0.0000 0.0000
N1 N 0.0000 0.5000 0.6394
N2 N 0.5000 0.0000 0.3606
Bi1 Bi 0.0000 0.0000 0.5000
Bi2 Bi 0.5000 0.5000 0.5000
Tm1 Tm 0.0000 0.5000 0.9180
Tm2 Tm 0.5000 0.0000 0.0820

Question: Which value of final energy does entry 3 give?
Answer: -3.835 eV/atom

Question: Among the records above, which one has the highest final energy?
Answer: LiGaCo

Question: Among the records above, which one has the highest final energy?
Answer: LiGaCo